No. 1
This record from the Alexandria database describes an optimized crystal structure of Cd3Cu. The functional is PBE.

Summary:
* space group: No. 225
* ΔH_f (0 K): 132.5 meV per atom

Cell and atoms, written as CIF:
```
data_Cd3Cu
_symmetry_space_group_name_H-M 'P 1'
_symmetry_Int_Tables_number 1
_cell_length_a 4.755
_cell_length_b 4.755
_cell_length_c 4.755
_cell_angle_alpha 60.00
_cell_angle_beta 60.00
_cell_angle_gamma 60.00
loop_
_symmetry_equiv_pos_as_xyz
'x,y,z'
loop_
_atom_site_label
_atom_site_type_symbol
_atom_site_fract_x
_atom_site_fract_y
_atom_site_fract_z
Cd1 Cd 0.000 0.000 0.000
Cd2 Cd 0.500 0.500 0.500
Cd3 Cd 0.750 0.750 0.750
Cu1 Cu 0.250 0.250 0.250
```

No. 2
This record from the Alexandria database describes an optimized crystal structure of NdY3Th2Bi6. The functional is PBE.

Summary:
* space group: No. 12
* ΔH_f (0 K): -805.8 meV per atom

Cell and atoms, written as CIF:
```
data_NdY3Th2Bi6
_symmetry_space_group_name_H-M 'P 1'
_symmetry_Int_Tables_number 1
_cell_length_a 7.888
_cell_length_b 7.888
_cell_length_c 7.836
_cell_angle_alpha 99.64
_cell_angle_beta 99.64
_cell_angle_gamma 120.07
loop_
_symmetry_equiv_pos_as_xyz
'x,y,z'
loop_
_atom_site_label
_atom_site_type_symbol
_atom_site_fract_x
_atom_site_fract_y
_atom_site_fract_z
Nd1 Nd 0.000 0.000 0.000
Y1 Y 0.166 0.834 0.500
Y2 Y 0.834 0.166 0.500
Y3 Y 0.500 0.500 0.500
Th1 Th 0.333 0.667 0.000
Th2 Th 0.667 0.333 0.000
Bi1 Bi 0.914 0.580 0.742
Bi2 Bi 0.752 0.752 0.258
Bi3 Bi 0.086 0.420 0.258
Bi4 Bi 0.580 0.914 0.742
Bi5 Bi 0.248 0.248 0.742
Bi6 Bi 0.420 0.086 0.258
```

No. 3
This record from the Alexandria database describes an optimized crystal structure of Al5Hg. The functional is PBE.

Summary:
* space group: No. 12
* ΔH_f (0 K): 98.5 meV per atom

Cell and atoms, written as CIF:
```
data_Al5Hg
_symmetry_space_group_name_H-M 'P 1'
_symmetry_Int_Tables_number 1
_cell_length_a 4.932
_cell_length_b 4.932
_cell_length_c 8.492
_cell_angle_alpha 66.83
_cell_angle_beta 66.83
_cell_angle_gamma 34.95
loop_
_symmetry_equiv_pos_as_xyz
'x,y,z'
loop_
_atom_site_label
_atom_site_type_symbol
_atom_site_fract_x
_atom_site_fract_y
_atom_site_fract_z
Al1 Al 0.334 0.334 0.814
Al2 Al 0.000 0.000 0.500
Al3 Al 0.666 0.666 0.186
Al4 Al 0.670 0.670 0.652
Al5 Al 0.330 0.330 0.348
Hg1 Hg 0.000 0.000 0.000
```

No. 4
This record from the Alexandria database describes an optimized crystal structure of As4P. The functional is PBE.

Summary:
* space group: No. 221
* ΔH_f (0 K): 826.2 meV per atom

Cell and atoms, written as CIF:
```
data_As4P
_symmetry_space_group_name_H-M 'P 1'
_symmetry_Int_Tables_number 1
_cell_length_a 4.753
_cell_length_b 4.753
_cell_length_c 4.753
_cell_angle_alpha 90.00
_cell_angle_beta 90.00
_cell_angle_gamma 90.00
loop_
_symmetry_equiv_pos_as_xyz
'x,y,z'
loop_
_atom_site_label
_atom_site_type_symbol
_atom_site_fract_x
_atom_site_fract_y
_atom_site_fract_z
P1 P 0.500 0.500 0.500
As1 As 0.000 0.000 0.000
As2 As 0.500 0.000 0.500
As3 As 0.000 0.500 0.500
As4 As 0.500 0.500 0.000
```

No. 5
This record from the Alexandria database describes an optimized crystal structure of WC3I. The functional is PBE.

Summary:
* formation energy from raw total energies: 2163 meV/atom
* space group: No. 221

Cell and atoms, written as CIF:
```
data_WC3I
_symmetry_space_group_name_H-M 'P 1'
_symmetry_Int_Tables_number 1
_cell_length_a 4.234
_cell_length_b 4.234
_cell_length_c 4.234
_cell_angle_alpha 90.00
_cell_angle_beta 90.00
_cell_angle_gamma 90.00
loop_
_symmetry_equiv_pos_as_xyz
'x,y,z'
loop_
_atom_site_label
_atom_site_type_symbol
_atom_site_fract_x
_atom_site_fract_y
_atom_site_fract_z
I1 I 0.500 0.500 0.500
C1 C 0.000 0.500 0.000
C2 C 0.000 0.000 0.500
C3 C 0.500 0.000 0.000
W1 W 0.000 0.000 0.000
```

No. 6
This record from the Alexandria database describes an optimized crystal structure of Dy3Y2UN6. The functional is PBE.

Summary:
* formation energy from raw total energies: -1675 meV/atom
* space group: No. 12

Cell and atoms, written as CIF:
```
data_Dy3Y2UN6
_symmetry_space_group_name_H-M 'P 1'
_symmetry_Int_Tables_number 1
_cell_length_a 5.992
_cell_length_b 5.992
_cell_length_c 5.990
_cell_angle_alpha 99.59
_cell_angle_beta 99.59
_cell_angle_gamma 119.98
loop_
_symmetry_equiv_pos_as_xyz
'x,y,z'
loop_
_atom_site_label
_atom_site_type_symbol
_atom_site_fract_x
_atom_site_fract_y
_atom_site_fract_z
Dy1 Dy 0.168 0.832 0.500
Dy2 Dy 0.832 0.168 0.500
Dy3 Dy 0.500 0.500 0.500
Y1 Y 0.334 0.666 0.000
Y2 Y 0.666 0.334 0.000
U1 U 0.000 0.000 0.000
N1 N 0.919 0.605 0.759
N2 N 0.766 0.766 0.238
N3 N 0.081 0.395 0.241
N4 N 0.605 0.919 0.759
N5 N 0.234 0.234 0.762
N6 N 0.395 0.081 0.241
```